A relaxed Bi2OsPb crystal, computed with PBE.

## Properties
ΔH_f (0 K): 0.77 eV per atom
V: 36.5 A^3/atom
DFT total energy: -4.91 eV per atom
N(E_F): 12.18 states/eV/cell

Cell lengths 6.728, 6.728, 12.904 Å; angles 90.00, 90.00, 90.00 degrees
Space group I-42d (No. 122)
Asymmetric unit:
Bi1 0.185 0.250 0.125 (multiplicity 8)
Os1 0.000 0.000 0.000 (multiplicity 4)
Pb1 0.000 0.000 0.500 (multiplicity 4)